Here is an optimized crystal structure of SrVPtF2 from the Alexandria database. Energies are from GGA+U.

Summary:
DFT total energy   -0.156 hartree per atom
Density of states at the Fermi level   3.4 states/eV/f.u.
Magnetic moment   3.4 μB per formula unit

Unit cell a=4.807 b=4.810 c=4.807 alpha=90.00 beta=90.00 gamma=90.00
Site moments in Bohr magnetons follow the coordinates.
Atoms (fractional coordinates):
Sr (0.500, 0.500, 0.500)  0.06
F (0.000, 0.000, 0.500)  -0.01
F (0.500, 0.000, 0.000)  -0.01
Pt (0.000, 0.000, 0.000)  -0.17
V (0.000, 0.500, 0.000)  2.81